one | The following is a GGA+U calculation of an optimized crystal structure of Ca2Mn3O8, from Alexandria.

For the spin magnetization, the calculation gives 0.69 μB per atom.

It has space group C2/m (No. 12), with a = 11.113 Å, b = 5.954 Å, c = 5.036 Å, α = 90.00°, β = 109.73° and γ = 90.00°. The asymmetric unit holds Ca at (0.223, 0.000, 0.163), Mn at (0.000, 0.242, 0.500), Mn at (0.000, 0.500, 0.000), O at (0.097, 0.500, 0.403), O at (0.102, 0.278, 0.891) and O at (0.104, 0.000, 0.458).

***

two | The following is a GGA+U calculation of an optimized crystal structure of Ca2Mn3O8, from Alexandria.

For the spin magnetization, the calculation gives 0.69 μB per atom.

It has space group P6_3mc (No. 186), with a = 5.9901 Å, b = 5.9901 Å, c = 10.5196 Å, α = 90.00°, β = 90.00° and γ = 120.00°. The asymmetric unit holds Ca at (0.3333, 0.6667, 0.0000), Ca at (0.3333, 0.6667, 0.4045), Mn at (0.1644, 0.3288, 0.7192), O at (0.0000, 0.0000, 0.3151), O at (0.0438, 0.5219, 0.8207), O at (0.1536, 0.3071, 0.1277) and O at (0.3333, 0.6667, 0.6225).

***

What are the relative energies? In meV per atom: one 0; two 104.